Entry 1:
Entry from Alexandria via LeMat-Bulk: crystalline Mn2P at its relaxed geometry (PBEsol).

As for the symmetry: No. 63. Its total energy is -8.663 eV per atom. The size of the total moment comes out at 3.564 μB per formula unit. For the volume, the calculation gives 11.34 Å³/atom.

a = 6.165 Å, b = 6.165 Å, c = 3.374 Å
α = 90.00°, β = 90.00°, γ = 147.97°
Fractional coordinates of all 6 atoms:
1 Mn 0.080 0.920 0.750
2 Mn 0.249 0.751 0.250
3 Mn 0.751 0.249 0.750
4 Mn 0.920 0.080 0.250
5 P 0.386 0.614 0.750
6 P 0.614 0.386 0.250

***

Entry 2:
Entry from Alexandria via LeMat-Bulk: crystalline CeNi2Sn2 at its relaxed geometry (PBEsol).

As for the symmetry: No. 139. Its total energy is -5.915 eV per atom. The size of the total moment comes out at 0.668 μB per formula unit. For the volume, the calculation gives 19.50 Å³/atom.

a = 5.963 Å, b = 5.963 Å, c = 5.963 Å
α = 136.98°, β = 136.98°, γ = 62.47°
Fractional coordinates of all 5 atoms:
1 Ce 0.000 0.000 0.000
2 Ni 0.250 0.750 0.500
3 Ni 0.750 0.250 0.500
4 Sn 0.364 0.364 0.000
5 Sn 0.636 0.636 0.000

***

Entry 3:
Entry from Alexandria via LeMat-Bulk: crystalline DySi2Pt2 at its relaxed geometry (PBEsol).

As for the symmetry: No. 139. The size of the total moment comes out at 0.000 μB per formula unit. The value obtained for the formation energy without anion corrections is -1080 meV per atom. For the volume, the calculation gives 16.72 Å³/atom.

a = 5.724 Å, b = 5.724 Å, c = 5.724 Å
α = 137.82°, β = 137.82°, γ = 61.18°
Fractional coordinates of all 5 atoms:
1 Dy 0.000 0.000 0.000
2 Si 0.383 0.383 0.000
3 Si 0.617 0.617 0.000
4 Pt 0.250 0.750 0.500
5 Pt 0.750 0.250 0.500

***

Entry 4:
Entry from Alexandria via LeMat-Bulk: crystalline Zr6Al7Co16 at its relaxed geometry (PBEsol).

As for the symmetry: No. 225. Its total energy is -7.617 eV per atom. The size of the total moment comes out at 5.080 μB per formula unit. For the volume, the calculation gives 13.11 Å³/atom.

a = 8.131 Å, b = 8.131 Å, c = 8.131 Å
α = 60.00°, β = 60.00°, γ = 60.00°
Fractional coordinates of all 29 atoms:
1 Zr 0.211 0.211 0.789
2 Zr 0.211 0.789 0.211
3 Zr 0.211 0.789 0.789
4 Zr 0.789 0.211 0.211
5 Zr 0.789 0.211 0.789
6 Zr 0.789 0.789 0.211
7 Al 0.000 0.000 0.500
8 Al 0.000 0.500 0.000
9 Al 0.000 0.500 0.500
10 Al 0.500 0.000 0.000
11 Al 0.500 0.000 0.500
12 Al 0.500 0.500 0.000
13 Al 0.500 0.500 0.500
14 Co 0.130 0.623 0.623
15 Co 0.175 0.175 0.175
16 Co 0.175 0.175 0.474
17 Co 0.175 0.474 0.175
18 Co 0.377 0.377 0.377
19 Co 0.377 0.377 0.870
20 Co 0.377 0.870 0.377
21 Co 0.474 0.175 0.175
22 Co 0.526 0.825 0.825
23 Co 0.623 0.130 0.623
24 Co 0.623 0.623 0.130
25 Co 0.623 0.623 0.623
26 Co 0.825 0.526 0.825
27 Co 0.825 0.825 0.526
28 Co 0.825 0.825 0.825
29 Co 0.870 0.377 0.377

***

Entry 5:
Entry from Alexandria via LeMat-Bulk: crystalline Pr6CdSi2S14 at its relaxed geometry (PBEsol).

As for the symmetry: No. 143. The size of the total moment comes out at 0.001 μB per formula unit. The value obtained for the formation energy without anion corrections is -1651 meV per atom. For the volume, the calculation gives 22.15 Å³/atom.

a = 10.181 Å, b = 10.181 Å, c = 5.674 Å
α = 90.00°, β = 90.00°, γ = 120.00°
Fractional coordinates of all 23 atoms:
1 Pr 0.025 0.458 0.000
2 Pr 0.309 0.210 0.495
3 Pr 0.432 0.975 0.000
4 Pr 0.542 0.568 0.000
5 Pr 0.790 0.099 0.495
6 Pr 0.901 0.691 0.495
7 Cd 0.667 0.333 0.742
8 Si 0.000 0.000 0.078
9 Si 0.333 0.667 0.586
10 S 0.000 0.000 0.708
11 S 0.077 0.221 0.224
12 S 0.144 0.923 0.224
13 S 0.189 0.744 0.729
14 S 0.256 0.446 0.729
15 S 0.333 0.667 0.215
16 S 0.410 0.244 0.981
17 S 0.497 0.077 0.492
18 S 0.554 0.811 0.729
19 S 0.580 0.503 0.492
20 S 0.756 0.165 0.981
21 S 0.779 0.856 0.224
22 S 0.835 0.590 0.981
23 S 0.923 0.420 0.492

***

Entry 6:
Entry from Alexandria via LeMat-Bulk: crystalline ScNbSb2I at its relaxed geometry (PBEsol).

As for the symmetry: No. 123. The size of the total moment comes out at 0.993 μB per formula unit. The value obtained for the formation energy without anion corrections is 417 meV per atom. For the volume, the calculation gives 30.72 Å³/atom.

a = 5.289 Å, b = 5.289 Å, c = 5.490 Å
α = 90.00°, β = 90.00°, γ = 90.00°
Fractional coordinates of all 5 atoms:
1 Sc 0.000 0.000 0.000
2 Nb 0.500 0.500 0.500
3 Sb 0.000 0.500 0.500
4 Sb 0.500 0.000 0.500
5 I 0.500 0.500 0.000

***

Entry 7:
Entry from Alexandria via LeMat-Bulk: crystalline LiBeP at its relaxed geometry (PBEsol).

As for the symmetry: No. 129. Its total energy is -4.505 eV per atom. The size of the total moment comes out at 0.000 μB per formula unit. For the volume, the calculation gives 12.75 Å³/atom.

a = 3.583 Å, b = 3.583 Å, c = 5.957 Å
α = 90.00°, β = 90.00°, γ = 90.00°
Fractional coordinates of all 6 atoms:
1 Li 0.250 0.250 0.148
2 Li 0.750 0.750 0.852
3 Be 0.250 0.750 0.500
4 Be 0.750 0.250 0.500
5 P 0.250 0.250 0.719
6 P 0.750 0.750 0.281

***

Entry 8:
Entry from Alexandria via LeMat-Bulk: crystalline KCoBiCl2 at its relaxed geometry (PBEsol).

As for the symmetry: No. 123. The size of the total moment comes out at 1.232 μB per formula unit. The value obtained for the formation energy without anion corrections is -247 meV per atom. For the volume, the calculation gives 31.53 Å³/atom.

a = 5.704 Å, b = 5.704 Å, c = 4.844 Å
α = 90.00°, β = 90.00°, γ = 90.00°
Fractional coordinates of all 5 atoms:
1 K 0.000 0.000 0.000
2 Co 0.500 0.500 0.000
3 Bi 0.500 0.500 0.500
4 Cl 0.000 0.500 0.500
5 Cl 0.500 0.000 0.500

***

Entry 9:
Entry from Alexandria via LeMat-Bulk: crystalline ReWS2 at its relaxed geometry (PBEsol).

As for the symmetry: No. 225. The size of the total moment comes out at 0.000 μB per formula unit. The value obtained for the formation energy without anion corrections is 151 meV per atom. For the volume, the calculation gives 13.01 Å³/atom.

a = 4.191 Å, b = 4.191 Å, c = 4.191 Å
α = 60.00°, β = 60.00°, γ = 60.00°
Fractional coordinates of all 4 atoms:
1 Re 0.000 0.000 0.000
2 W 0.500 0.500 0.500
3 S 0.250 0.250 0.250
4 S 0.750 0.750 0.750

***

Entry 10:
Entry from Alexandria via LeMat-Bulk: crystalline CoAg2Te at its relaxed geometry (PBEsol).

As for the symmetry: No. 10. The size of the total moment comes out at 0.817 μB per formula unit. The value obtained for the formation energy without anion corrections is 389 meV per atom. For the volume, the calculation gives 17.52 Å³/atom.

a = 3.356 Å, b = 4.987 Å, c = 4.188 Å
α = 90.00°, β = 90.60°, γ = 90.00°
Fractional coordinates of all 4 atoms:
1 Co 0.000 0.000 0.000
2 Ag 0.245 0.500 0.758
3 Ag 0.755 0.500 0.242
4 Te 0.500 0.000 0.500

***

Entry 11:
Entry from Alexandria via LeMat-Bulk: crystalline Mn2BeCoCu at its relaxed geometry (PBEsol).

As for the symmetry: No. 123. Its total energy is -6.131 eV per atom. The size of the total moment comes out at 7.657 μB per formula unit. For the volume, the calculation gives 14.35 Å³/atom.

a = 4.298 Å, b = 4.298 Å, c = 3.884 Å
α = 90.00°, β = 90.00°, γ = 90.00°
Fractional coordinates of all 5 atoms:
1 Mn 0.000 0.500 0.000
2 Mn 0.500 0.000 0.000
3 Be 0.000 0.000 0.500
4 Co 0.000 0.000 0.000
5 Cu 0.500 0.500 0.500

***

Entry 12:
Entry from Alexandria via LeMat-Bulk: crystalline Sb2MoPt at its relaxed geometry (PBEsol).

As for the symmetry: No. 216. The size of the total moment comes out at 0.004 μB per formula unit. The value obtained for the formation energy without anion corrections is 514 meV per atom. For the volume, the calculation gives 19.16 Å³/atom. The calculation puts the distance to the lowest polymorph of the same formula at 590.3 meV/atom.

a = 4.768 Å, b = 4.768 Å, c = 4.768 Å
α = 60.00°, β = 60.00°, γ = 60.00°
Fractional coordinates of all 4 atoms:
1 Sb 0.000 0.000 0.000
2 Sb 0.250 0.250 0.250
3 Mo 0.750 0.750 0.750
4 Pt 0.500 0.500 0.500